Record 1
VASP calculation (PBE) on Nb3CrBi after structural relaxation.

```
5
Lattice="4.705 0.000 0.000 0.000 4.705 0.000 0.000 0.000 4.705" Properties=species:S:1:pos:R:3 pbc="T T T"
Nb 0.000 0.000 2.352
Nb 0.000 2.352 0.000
Nb 2.352 0.000 0.000
Cr 0.000 0.000 0.000
Bi 2.352 2.352 2.352
```

Computed properties:
- Calculated total energy: -40.227 eV per cell
- Fermi-level density of states: 4.7 states/eV per cell
- Size of the total moment: 0.0 μB per formula unit
- Formation energy from the elements: 16.08 kcal/mol of atoms
- Relative energy among the computed polymorphs: 0.000 eV per atom

***

Record 2
VASP calculation (PBE) on Ho5Er2Mg after structural relaxation.

```
8
Lattice="0.000 5.584 6.112 3.525 0.000 6.112 3.525 5.584 0.000" Properties=species:S:1:pos:R:3 pbc="T T T"
Ho 0.000 0.000 0.000
Ho 5.225 5.584 2.980
Ho 1.762 2.792 5.034
Ho 1.825 5.584 2.980
Ho 5.287 8.377 11.145
Er 3.525 2.859 8.075
Er 3.525 8.310 8.075
Mg 3.525 5.584 6.046
```

Computed properties:
- Calculated total energy: -33.609 eV per cell
- Fermi-level density of states: 10.0 states/eV per cell
- Size of the total moment: 0.0 μB per formula unit
- Formation energy from the elements: 0.00 kcal/mol of atoms
- Relative energy among the computed polymorphs: 0.000 eV per atom

***

Record 3
VASP calculation (PBE) on In2SbPtI after structural relaxation.

```
5
Lattice="6.081 0.000 0.000 0.000 6.081 0.000 0.000 0.000 5.765" Properties=species:S:1:pos:R:3 pbc="T T T"
In 0.000 3.040 0.000
In 3.040 0.000 0.000
Sb 0.000 0.000 2.882
Pt 3.040 3.040 2.882
I 0.000 0.000 0.000
```

Computed properties:
- Calculated total energy: -11.266 eV per cell
- Fermi-level density of states: 4.8 states/eV per cell
- Size of the total moment: 0.0 μB per formula unit
- Raw formation energy: 1.1847 eV per atom

***

Record 4
VASP calculation (PBE) on La2CeIr2I2 after structural relaxation.

```
7
Lattice="-2.564 2.564 8.590 2.564 -2.564 8.590 2.564 2.564 -8.590" Properties=species:S:1:pos:R:3 pbc="T T T"
La 0.000 0.000 1.837
La 0.000 0.000 15.343
Ce 0.000 0.000 8.590
Ir 2.564 0.000 0.000
Ir 0.000 2.564 0.000
I 0.000 0.000 5.287
I 0.000 0.000 11.892
```

Computed properties:
- Calculated total energy: -42.685 eV per cell
- Fermi-level density of states: 7.0 states/eV per cell
- Size of the total moment: 0.0 μB per formula unit
- Raw formation energy: -0.8678 eV per atom

***

Record 5
VASP calculation (PBE) on Cs3AgW2S8 after structural relaxation.

```
14
Lattice="7.301 0.000 0.000 -3.650 6.323 0.000 0.000 0.000 9.858" Properties=species:S:1:pos:R:3 pbc="T T T"
Cs 0.000 0.000 0.000
Cs 0.000 4.215 6.442
Cs 3.650 2.108 3.417
Ag 0.000 0.000 4.929
W 0.000 4.215 2.380
W 3.650 2.108 7.478
S 0.000 2.120 3.113
S -1.814 5.263 3.113
S 0.000 4.215 0.199
S 1.836 1.060 6.745
S 1.814 5.263 3.113
S 3.650 2.108 9.659
S 5.465 1.060 6.745
S 3.650 4.203 6.745
```

Computed properties:
- Calculated total energy: -75.821 eV per cell
- Fermi-level density of states: 0.0 states/eV per cell
- Size of the total moment: 0.0 μB per formula unit
- Raw formation energy: -0.8202 eV per atom

***

Record 6
VASP calculation (PBE) on AcPmPr6Sm2 after structural relaxation.

```
20
Lattice="4.719 -7.858 0.000 4.719 7.858 0.000 -1.202 0.000 9.925" Properties=species:S:1:pos:R:3 pbc="T T T"
Ac 3.818 7.468 7.444
Ac 4.419 -7.468 2.481
Pm 4.419 1.439 2.481
Pm 3.818 -1.439 7.444
Pr 1.902 4.268 6.789
Pr 4.032 4.932 0.532
Pr 4.806 4.932 4.431
Pr 2.707 1.638 8.748
Pr 5.733 4.268 8.099
Pr 4.929 1.638 6.141
Pr 3.308 -1.638 3.785
Pr 2.504 -4.268 1.826
Pr 5.530 -1.638 1.178
Pr 3.431 -4.932 5.494
Pr 4.205 -4.932 9.394
Pr 6.334 -4.268 3.136
Sm 1.713 0.864 5.413
Sm 2.315 -0.864 0.450
Sm 5.922 0.864 9.475
Sm 6.523 -0.864 4.513
```

Computed properties:
- Calculated total energy: -91.697 eV per cell
- Fermi-level density of states: 30.0 states/eV per cell
- Size of the total moment: 0.0 μB per formula unit
- Formation energy from the elements: 2.60 kcal/mol of atoms

***

Record 7
VASP calculation (PBE) on Mg2OsCl after structural relaxation.

```
4
Lattice="1.764 -2.482 0.000 1.764 2.482 0.000 0.000 0.000 8.024" Properties=species:S:1:pos:R:3 pbc="T T T"
Mg 0.000 0.000 1.910
Mg 0.000 0.000 6.114
Os 1.764 0.000 0.000
Cl 1.764 0.000 4.012
```

Computed properties:
- Calculated total energy: -16.830 eV per cell
- Fermi-level density of states: 2.2 states/eV per cell
- Size of the total moment: 0.0 μB per formula unit
- Raw formation energy: -0.1411 eV per atom
- Relative energy among the computed polymorphs: 0.159 eV per atom

***

Record 8
VASP calculation (PBE) on KLiTl4 after structural relaxation.

```
12
Lattice="8.728 -3.728 0.000 8.728 3.728 0.000 -1.956 0.000 5.539" Properties=species:S:1:pos:R:3 pbc="T T T"
K 3.215 0.000 1.131
K 12.286 0.000 4.408
Li 8.178 0.000 1.468
Li 7.323 0.000 4.071
Tl 6.076 2.042 2.179
Tl 8.728 2.256 0.000
Tl 9.425 2.042 3.360
Tl 4.279 0.000 4.622
Tl 11.222 0.000 0.917
Tl 6.076 -2.042 2.179
Tl 8.728 -2.256 0.000
Tl 9.425 -2.042 3.360
```

Computed properties:
- Calculated total energy: -25.893 eV per cell
- Fermi-level density of states: 6.9 states/eV per cell
- Size of the total moment: 0.0 μB per formula unit
- Formation energy from the elements: -1.81 kcal/mol of atoms
- Relative energy among the computed polymorphs: 0.000 eV per atom